A relaxed structure of RbPuAgSe2S. Source: OQMD via LeMat-Bulk, functional PBE.

abc: 8.638 4.189 10.188
angles: 90.00 109.47 90.00
Space group P2_1/m (No. 11)
Unique sites:
1 Rb 0.250 0.250 0.228 x2
2 Pu 0.177 0.750 0.646 x2
3 Ag 0.428 0.250 0.899 x2
4 Se 0.246 0.750 0.937 x2
5 Se 0.395 0.250 0.631 x2
6 S 0.032 0.750 0.368 x2

Results
Total energy, eV per atom: -5.96
Crystal system: monoclinic
Magnetic moment, μB per cell: 8.01